[1]
# Y3Mg3Pd2Au, optimized geometry, DFT PBE
data_Y3Mg3Pd2Au
_cell_length_a 7.480
_cell_length_b 7.480
_cell_length_c 4.100
_cell_angle_alpha 90.00
_cell_angle_beta 90.00
_cell_angle_gamma 120.00
_space_group_name_H-M_alt 'P 1'
_space_group_IT_number 1
loop_
_space_group_symop_operation_xyz
'x,y,z'
loop_
_atom_site_label
_atom_site_type_symbol
_atom_site_fract_x
_atom_site_fract_y
_atom_site_fract_z
Y1 Y 0.414 0.414 0.000
Y2 Y 0.000 0.586 0.000
Pd1 Pd 0.667 0.333 0.500
Mg1 Mg 0.250 0.000 0.500
Y3 Y 0.586 0.000 0.000
Pd2 Pd 0.333 0.667 0.500
Au1 Au 0.000 0.000 0.000
Mg2 Mg 0.000 0.250 0.500
Mg3 Mg 0.751 0.751 0.500
# V: 199 Å³/f.u.
# spin magnetization: 0.01 μB per atom
# total energy: -4.87 eV per atom


[2]
# Y3Mg3PdAu2, optimized geometry, DFT PBE
data_Y3Mg3PdAu2
_cell_length_a 7.564
_cell_length_b 7.564
_cell_length_c 4.089
_cell_angle_alpha 90.00
_cell_angle_beta 90.00
_cell_angle_gamma 120.00
_space_group_name_H-M_alt 'P 1'
_space_group_IT_number 1
loop_
_space_group_symop_operation_xyz
'x,y,z'
loop_
_atom_site_label
_atom_site_type_symbol
_atom_site_fract_x
_atom_site_fract_y
_atom_site_fract_z
Y1 Y 0.591 0.000 0.000
Pd1 Pd 0.000 0.000 0.000
Au1 Au 0.333 0.667 0.500
Y2 Y 0.000 0.591 0.000
Y3 Y 0.409 0.409 0.000
Mg1 Mg 0.758 0.758 0.500
Mg2 Mg 0.242 0.000 0.500
Mg3 Mg 0.000 0.242 0.500
Au2 Au 0.667 0.333 0.500
# V: 203 Å³/f.u.
# spin magnetization: 0.00 μB per atom
# total energy: -4.67 eV per atom


[3]
# Mg2ZnPdAu4, optimized geometry, DFT PBE
data_Mg2ZnPdAu4
_cell_length_a 4.331
_cell_length_b 4.331
_cell_length_c 7.283
_cell_angle_alpha 90.00
_cell_angle_beta 90.00
_cell_angle_gamma 90.00
_space_group_name_H-M_alt 'P 1'
_space_group_IT_number 1
loop_
_space_group_symop_operation_xyz
'x,y,z'
loop_
_atom_site_label
_atom_site_type_symbol
_atom_site_fract_x
_atom_site_fract_y
_atom_site_fract_z
Au1 Au 0.500 0.000 0.259
Au2 Au 0.500 0.000 0.741
Pd1 Pd 0.000 0.000 0.000
Zn1 Zn 0.500 0.500 0.500
Mg1 Mg 0.500 0.500 0.000
Au3 Au 0.000 0.500 0.741
Au4 Au 0.000 0.500 0.259
Mg2 Mg 0.000 0.000 0.500
# V: 137 Å³/f.u.
# total energy: -3.28 eV per atom